[1]
Here is crystalline Ti3HgOs at its relaxed geometry from Alexandria via LeMat-Bulk. Energies are from GGA-PBEsol.

Values from the calculation:
For the energy of formation from the pure elements, the calculation gives 1739 meV per atom. Its energy above the most stable polymorph in this dataset is 1.3024 eV per atom. As for the total magnetization: 0.000 μB per formula unit. The density of states at the Fermi level is 7.79 states/eV/cell.

a = 4.756 Å, b = 4.756 Å, c = 4.756 Å
α = 90.00°, β = 90.00°, γ = 90.00°
Fractional positions:
Ti: 0.000 0.000 0.500
Ti: 0.000 0.500 0.000
Ti: 0.500 0.000 0.000
Hg: 0.000 0.000 0.000
Os: 0.500 0.500 0.500

=====

[2]
Here is crystalline RuW2Br at its relaxed geometry from Alexandria via LeMat-Bulk. Energies are from GGA-PBEsol.

Values from the calculation:
The uncorrected formation energy comes out at 272 kJ/mol of formula units. Its energy above the most stable polymorph in this dataset is 0.1921 eV per atom. As for the total magnetization: 0.001 μB per formula unit. The density of states at the Fermi level is 3.78 states/eV/cell.

a = 2.851 Å, b = 2.851 Å, c = 8.773 Å
α = 90.00°, β = 90.00°, γ = 113.69°
Fractional positions:
Ru: 0.000 0.000 0.000
W: 0.000 0.000 0.530
W: 0.500 0.500 0.772
Br: 0.500 0.500 0.267

=====

[3]
Here is crystalline B2HI2 at its relaxed geometry from Alexandria via LeMat-Bulk. Energies are from GGA-PBEsol.

Values from the calculation:
For the total energy, the calculation gives -3.15 eV/atom. As for the total magnetization: 0.758 μB per formula unit. The density of states at the Fermi level is 1.74 states/eV/cell.

a = 7.726 Å, b = 7.726 Å, c = 3.437 Å
α = 90.00°, β = 90.00°, γ = 90.00°
Fractional positions:
B: 0.071 0.429 0.000
B: 0.429 0.929 0.000
B: 0.571 0.071 0.000
B: 0.929 0.571 0.000
H: 0.000 0.000 0.500
H: 0.500 0.500 0.500
I: 0.196 0.304 0.500
I: 0.304 0.804 0.500
I: 0.696 0.196 0.500
I: 0.804 0.696 0.500

=====

[4]
Here is crystalline Na2TaPd2 at its relaxed geometry from Alexandria via LeMat-Bulk. Energies are from GGA-PBEsol.

Values from the calculation:
For the energy of formation from the pure elements, the calculation gives 850 meV per atom. As for the total magnetization: 0.003 μB per formula unit. The density of states at the Fermi level is 3.96 states/eV/cell.

a = 5.160 Å, b = 5.160 Å, c = 5.160 Å
α = 126.62°, β = 126.62°, γ = 78.87°
Fractional positions:
Na: 0.127 0.127 0.000
Na: 0.873 0.873 0.000
Ta: 0.500 0.500 0.000
Pd: 0.250 0.750 0.500
Pd: 0.750 0.250 0.500

=====

[5]
Here is crystalline Ta3W at its relaxed geometry from Alexandria via LeMat-Bulk. Energies are from GGA-PBEsol.

Values from the calculation:
For the energy of formation from the pure elements, the calculation gives 29 meV per atom. As for the total magnetization: 0.000 μB per formula unit. The density of states at the Fermi level is 9.49 states/eV/cell.

a = 5.184 Å, b = 5.184 Å, c = 5.184 Å
α = 90.00°, β = 90.00°, γ = 90.00°
Fractional positions:
Ta: 0.000 0.250 0.500
Ta: 0.000 0.750 0.500
Ta: 0.250 0.500 0.000
Ta: 0.500 0.000 0.250
Ta: 0.500 0.000 0.750
Ta: 0.750 0.500 0.000
W: 0.000 0.000 0.000
W: 0.500 0.500 0.500

=====

[6]
Here is crystalline NaCdMo3 at its relaxed geometry from Alexandria via LeMat-Bulk. Energies are from GGA-PBEsol.

Values from the calculation:
For the energy of formation from the pure elements, the calculation gives 2595 meV per atom. As for the total magnetization: 0.058 μB per formula unit. The density of states at the Fermi level is 5.85 states/eV/cell.

a = 4.501 Å, b = 4.501 Å, c = 4.501 Å
α = 90.00°, β = 90.00°, γ = 90.00°
Fractional positions:
Na: 0.000 0.000 0.000
Cd: 0.500 0.500 0.500
Mo: 0.000 0.000 0.500
Mo: 0.000 0.500 0.000
Mo: 0.500 0.000 0.000

=====

[7]
Here is crystalline CrPt2Cl at its relaxed geometry from Alexandria via LeMat-Bulk. Energies are from GGA-PBEsol.

Values from the calculation:
The uncorrected formation energy comes out at 106 kJ/mol of formula units. Its energy above the most stable polymorph in this dataset is 0.2188 eV per atom. As for the total magnetization: 3.578 μB per formula unit. The density of states at the Fermi level is 3.57 states/eV/cell.

a = 2.961 Å, b = 4.701 Å, c = 4.469 Å
α = 90.00°, β = 90.85°, γ = 90.00°
Fractional positions:
Cr: 0.000 0.000 0.000
Pt: 0.244 0.500 0.755
Pt: 0.756 0.500 0.245
Cl: 0.500 0.000 0.500

=====

[8]
Here is crystalline BaLi4 at its relaxed geometry from Alexandria via LeMat-Bulk. Energies are from GGA-PBEsol.

Values from the calculation:
For the energy of formation from the pure elements, the calculation gives 47 meV per atom. Its energy above the most stable polymorph in this dataset is 0.0403 eV per atom. As for the total magnetization: 0.000 μB per formula unit. The density of states at the Fermi level is 2.94 states/eV/cell.

a = 6.361 Å, b = 6.361 Å, c = 6.361 Å
α = 94.84°, β = 94.84°, γ = 146.24°
Fractional positions:
Ba: 0.000 0.000 0.000
Li: 0.156 0.624 0.780
Li: 0.376 0.156 0.532
Li: 0.624 0.844 0.468
Li: 0.844 0.376 0.220